(1)
The following is a DFT calculation (meta-GGA SCAN) of a PBEsol-optimized structure of TlSbOF2.

abc: 4.2428 4.5526 4.5526
angles: 90.00 90.00 90.00
Element x y z (fractional)
O1 0.5000 0.0000 0.0000
F1 0.0000 0.0000 0.5000
F2 0.0000 0.5000 0.0000
Tl1 0.5000 0.5000 0.5000
Sb1 0.0000 0.0000 0.0000

Results
ΔE_f (raw) ... -1.587 eV/atom


(2)
The following is a DFT calculation (meta-GGA SCAN) of a PBEsol-optimized structure of HgPd3Br.

abc: 4.6817 4.6817 4.6817
angles: 90.00 90.00 90.00
Element x y z (fractional)
Pd1 0.5000 0.0000 0.0000
Pd2 0.0000 0.0000 0.5000
Pd3 0.0000 0.5000 0.0000
Br1 0.0000 0.0000 0.0000
Hg1 0.5000 0.5000 0.5000

Results
ΔE_f (raw) ... 0.513 eV/atom
Polymorph energy (0 for the lowest one) ... 0 meV per atom


(3)
The following is a DFT calculation (meta-GGA SCAN) of a PBEsol-optimized structure of NbV3H.

abc: 3.9141 3.9141 3.9141
angles: 90.00 90.00 90.00
Element x y z (fractional)
V1 0.0000 0.0000 0.5000
V2 0.5000 0.0000 0.0000
V3 0.0000 0.5000 0.0000
Nb1 0.5000 0.5000 0.5000
H1 0.0000 0.0000 0.0000


(4)
The following is a DFT calculation (meta-GGA SCAN) of a PBEsol-optimized structure of Nb2AlC.

abc: 3.1051 3.1051 13.8522
angles: 90.00 90.00 120.00
Element x y z (fractional)
Nb1 0.3333 0.6667 0.4108
Nb2 0.6667 0.3333 0.5892
Nb3 0.6667 0.3333 0.9108
Nb4 0.3333 0.6667 0.0892
Al1 0.6667 0.3333 0.2500
Al2 0.3333 0.6667 0.7500
C1 0.0000 0.0000 0.0000
C2 0.0000 0.0000 0.5000

Results
Polymorph energy (0 for the lowest one) ... 0 meV per atom


(5)
The following is a DFT calculation (meta-GGA SCAN) of a PBEsol-optimized structure of PbAu3.

abc: 3.2995 4.2939 5.7491
angles: 90.00 90.00 90.00
Element x y z (fractional)
Au1 0.5000 0.0000 0.5354
Au2 0.0000 0.0000 0.9517
Au3 0.5000 0.5000 0.8556
Pb1 0.0000 0.5000 0.3240


(6)
The following is a DFT calculation (meta-GGA SCAN) of a PBEsol-optimized structure of Sb4H2SO10.

abc: 5.7521 11.1917 14.9549
angles: 90.00 90.00 90.00
Element x y z (fractional)
Sb1 0.3912 0.0893 0.0905
Sb2 0.1088 0.0893 0.5905
Sb3 0.6088 0.9107 0.5905
Sb4 0.4777 0.3656 0.2504
Sb5 0.3504 0.4055 0.9340
Sb6 0.0480 0.1392 0.2683
Sb7 0.8504 0.5945 0.9340
Sb8 0.6496 0.5945 0.4340
Sb9 0.1496 0.4055 0.4340
Sb10 0.5480 0.8608 0.2683
Sb11 0.9777 0.6344 0.2504
Sb12 0.4520 0.1392 0.7683
Sb13 0.9520 0.8608 0.7683
Sb14 0.8912 0.9107 0.0905
Sb15 0.5223 0.6344 0.7504
Sb16 0.0223 0.3656 0.7504
H1 0.8524 0.4787 0.1374
H2 0.6339 0.8969 0.8812
H3 0.6476 0.4787 0.6374
H4 0.3661 0.1031 0.3812
H5 0.3524 0.5213 0.1374
H6 0.1339 0.1031 0.8812
H7 0.1476 0.5213 0.6374
H8 0.8661 0.8969 0.3812
O1 0.1576 0.7474 0.9326
O2 0.8822 0.9918 0.6643
O3 0.1997 0.3061 0.3233
O4 0.2875 0.0500 0.3377
O5 0.7124 0.9500 0.8377
O6 0.9213 0.5096 0.3662
O7 0.8003 0.6939 0.8233
O8 0.8085 0.7909 0.1829
O9 0.2338 0.4694 0.6799
O10 0.6997 0.6939 0.3233
O11 0.0787 0.4904 0.8662
O12 0.2298 0.7975 0.0893
O13 0.1178 0.0082 0.1643
O14 0.2662 0.4694 0.1799
O15 0.6915 0.7909 0.6829
O16 0.2124 0.0500 0.8377
O17 0.7876 0.9500 0.3377
O18 0.3085 0.2091 0.1829
O19 0.6394 0.3918 0.5300
O20 0.0493 0.2063 0.9827
O21 0.7662 0.5306 0.1799
O22 0.8606 0.3918 0.0300
O23 0.1915 0.2091 0.6829
O24 0.9507 0.7937 0.4827
O25 0.3003 0.3061 0.8233
O26 0.1394 0.6082 0.5300
O27 0.7702 0.2025 0.5893
O28 0.6178 0.9918 0.1643
O29 0.3822 0.0082 0.6643
O30 0.7298 0.2025 0.0893
O31 0.4213 0.4904 0.3662
O32 0.8424 0.2526 0.4326
O33 0.5493 0.7937 0.9827
O34 0.6576 0.2526 0.9326
O35 0.3424 0.7474 0.4326
O36 0.3606 0.6082 0.0300
O37 0.7338 0.5306 0.6799
O38 0.5787 0.5096 0.8662
O39 0.4507 0.2063 0.4827
O40 0.2702 0.7975 0.5893
S1 0.1729 0.7363 0.5079
S2 0.3271 0.7363 0.0079
S3 0.8271 0.2637 0.0079
S4 0.6729 0.2637 0.5079


(7)
The following is a DFT calculation (meta-GGA SCAN) of a PBEsol-optimized structure of Re2HgMo.

abc: 3.9535 3.9535 4.8829
angles: 113.88 113.88 90.00
Element x y z (fractional)
Re1 0.2500 0.7500 0.5000
Re2 0.7500 0.2500 0.5000
Hg1 0.5000 0.5000 0.0000
Mo1 0.0000 0.0000 0.0000


(8)
The following is a DFT calculation (meta-GGA SCAN) of a PBEsol-optimized structure of Zr2InN.

abc: 3.2622 3.2622 14.8118
angles: 90.00 90.00 120.00
Element x y z (fractional)
Zr1 0.6667 0.3333 0.9164
Zr2 0.3333 0.6667 0.0836
Zr3 0.6667 0.3333 0.5836
Zr4 0.3333 0.6667 0.4164
In1 0.3333 0.6667 0.7500
In2 0.6667 0.3333 0.2500
N1 0.0000 0.0000 0.5000
N2 0.0000 0.0000 0.0000

Results
ΔE_f (raw) ... -1.255 eV/atom


(9)
The following is a DFT calculation (meta-GGA SCAN) of a PBEsol-optimized structure of Co2CuTc.

abc: 2.5290 4.3276 4.4104
angles: 100.68 106.66 90.00
Element x y z (fractional)
Co1 0.2580 0.7383 0.5161
Co2 0.9932 0.0134 0.9864
Cu1 0.5048 0.5203 0.0097
Tc1 0.7439 0.2280 0.4878

Results
Polymorph energy (0 for the lowest one) ... 7 meV per atom


(10)
The following is a DFT calculation (meta-GGA SCAN) of a PBEsol-optimized structure of ZrPtRh.

abc: 2.8466 4.4494 4.4494
angles: 120.00 90.00 90.00
Element x y z (fractional)
Zr1 0.3723 0.3333 0.6667
Pt1 0.0240 0.0000 0.0000
Rh1 0.6038 0.6667 0.3333

Results
Polymorph energy (0 for the lowest one) ... 0 meV per atom


Calculated values (eV/atom) of final energy for the records, taken in order: -26.17; -36.68; -17.68; -21.57; -70.76; -14.80; -60.70; -27.27; -20.97; -45.59.